Arrangement A

Below is a relaxed Dy8Cu2Os crystal, with properties calculated at the PBE level.

abc: 8.971 8.971 6.714
angles: 106.55 106.55 32.94
Atoms (fractional coordinates):
1 Dy 0.032 0.032 0.296
2 Dy 0.198 0.198 0.820
3 Dy 0.333 0.333 0.523
4 Dy 0.409 0.409 0.060
5 Dy 0.591 0.591 0.940
6 Dy 0.667 0.667 0.477
7 Dy 0.802 0.802 0.180
8 Dy 0.968 0.968 0.704
9 Cu 0.184 0.184 0.217
10 Cu 0.816 0.816 0.783
11 Os 0.500 0.500 0.500

Results
space-group type	C2/m (12)

Arrangement B

Below is a relaxed Dy8Cu2Os crystal, with properties calculated at the PBE level.

abc: 7.744 7.744 5.890
angles: 101.15 101.15 115.93
Atoms (fractional coordinates):
1 Dy 0.000 0.000 0.000
2 Dy 0.024 0.272 0.593
3 Dy 0.157 0.565 0.189
4 Dy 0.272 0.024 0.593
5 Dy 0.449 0.696 0.809
6 Dy 0.565 0.157 0.189
7 Dy 0.696 0.449 0.809
8 Dy 0.719 0.719 0.371
9 Cu 0.052 0.660 0.685
10 Cu 0.660 0.052 0.685
11 Os 0.359 0.359 0.030

Results
space-group type	Cm (8)

Computed relative energies in units of meV per atom: arrangement A 0; arrangement B 118

Arrangement A

Below is a relaxed DyCuOs crystal, with properties calculated at the PBE level.

abc: 4.939 4.939 5.103
angles: 101.85 101.85 65.85
Atoms (fractional coordinates):
1 Dy 0.153 0.153 0.407
2 Dy 0.847 0.847 0.593
3 Cu 0.000 0.500 0.000
4 Cu 0.500 0.000 0.000
5 Os 0.493 0.493 0.736
6 Os 0.507 0.507 0.264

Results
space-group type	C2/m (12)

Arrangement B

Below is a relaxed DyCuOs crystal, with properties calculated at the PBE level.

abc: 5.339 5.339 5.339
angles: 122.08 121.87 86.62
Atoms (fractional coordinates):
1 Dy 0.370 0.120 0.250
2 Dy 0.630 0.880 0.750
3 Cu 0.000 0.500 0.500
4 Cu 0.500 0.500 0.000
5 Os 0.000 0.000 0.500
6 Os 0.000 0.500 0.000

Results
space-group type	Imma (74)

Computed relative energies in units of meV per atom: arrangement A 342; arrangement B 0

Arrangement A

Below is a relaxed DyPaCu crystal, with properties calculated at the PBE level.

abc: 6.749 6.749 6.749
angles: 151.78 151.78 40.33
Atoms (fractional coordinates):
1 Dy 0.000 0.000 0.000
2 Pa 0.296 0.296 0.000
3 Cu 0.648 0.648 0.000

Results
space-group type	I4mm (107)

Arrangement B

Below is a relaxed DyPaCu crystal, with properties calculated at the PBE level.

abc: 8.231 8.231 5.149
angles: 90.00 90.00 157.02
Atoms (fractional coordinates):
1 Dy 0.074 0.926 0.750
2 Dy 0.926 0.074 0.250
3 Pa 0.235 0.765 0.250
4 Pa 0.765 0.235 0.750
5 Cu 0.414 0.586 0.750
6 Cu 0.586 0.414 0.250

Results
space-group type	Cmcm (63)

Computed relative energies in units of meV per atom: arrangement A 122; arrangement B 0

Arrangement A

Below is a relaxed DyPaCu2 crystal, with properties calculated at the PBE level.

abc: 8.984 8.984 8.984
angles: 21.46 21.46 21.46
Atoms (fractional coordinates):
1 Dy 0.000 0.000 0.000
2 Pa 0.500 0.500 0.500
3 Cu 0.251 0.251 0.251
4 Cu 0.749 0.749 0.749

Results
space-group type	R-3m (166)

Arrangement B

Below is a relaxed DyPaCu2 crystal, with properties calculated at the PBE level.

abc: 4.879 4.879 4.879
angles: 60.00 60.00 60.00
Atoms (fractional coordinates):
1 Dy 0.000 0.000 0.000
2 Pa 0.500 0.500 0.500
3 Cu 0.250 0.250 0.250
4 Cu 0.750 0.750 0.750

Results
space-group type	Fm-3m (225)

Arrangement C

Below is a relaxed DyPaCu2 crystal, with properties calculated at the PBE level.

abc: 3.288 3.288 7.474
angles: 90.00 90.00 90.00
Atoms (fractional coordinates):
1 Dy 0.000 0.000 0.000
2 Pa 0.000 0.000 0.500
3 Cu 0.500 0.500 0.247
4 Cu 0.500 0.500 0.753

Results
space-group type	P4/mmm (123)

Computed relative energies in units of meV per atom: arrangement A 197; arrangement B 72; arrangement C 0

Arrangement A

Below is a relaxed DyCuPb2 crystal, with properties calculated at the PBE level.

abc: 4.698 4.698 4.437
angles: 90.00 90.00 90.00
Atoms (fractional coordinates):
1 Dy 0.000 0.000 0.000
2 Cu 0.500 0.500 0.000
3 Pb 0.000 0.500 0.500
4 Pb 0.500 0.000 0.500

Results
space-group type	P4/mmm (123)

Arrangement B

Below is a relaxed DyCuPb2 crystal, with properties calculated at the PBE level.

abc: 10.590 10.590 10.590
angles: 18.99 18.99 18.99
Atoms (fractional coordinates):
1 Dy 0.000 0.000 0.000
2 Cu 0.500 0.500 0.500
3 Pb 0.102 0.102 0.102
4 Pb 0.898 0.898 0.898

Results
space-group type	R-3m (166)

Computed relative energies in units of meV per atom: arrangement A 0; arrangement B 369

Arrangement A

Below is a relaxed Dy8Cu2Pd crystal, with properties calculated at the PBE level.

abc: 7.752 7.752 5.780
angles: 100.31 100.31 114.70
Atoms (fractional coordinates):
1 Dy 0.000 0.000 0.000
2 Dy 0.028 0.282 0.573
3 Dy 0.156 0.583 0.186
4 Dy 0.282 0.028 0.573
5 Dy 0.456 0.710 0.788
6 Dy 0.583 0.156 0.186
7 Dy 0.710 0.456 0.788
8 Dy 0.742 0.742 0.376
9 Cu 0.068 0.677 0.691
10 Cu 0.677 0.068 0.691
11 Pd 0.373 0.373 0.324

Results
space-group type	Cm (8)

Arrangement B

Below is a relaxed Dy8Cu2Pd crystal, with properties calculated at the PBE level.

abc: 9.064 9.064 6.708
angles: 105.21 105.21 32.48
Atoms (fractional coordinates):
1 Dy 0.032 0.032 0.283
2 Dy 0.200 0.200 0.832
3 Dy 0.331 0.331 0.518
4 Dy 0.409 0.409 0.046
5 Dy 0.591 0.591 0.954
6 Dy 0.669 0.669 0.482
7 Dy 0.800 0.800 0.168
8 Dy 0.968 0.968 0.717
9 Cu 0.184 0.184 0.229
10 Cu 0.816 0.816 0.771
11 Pd 0.500 0.500 0.500

Results
space-group type	C2/m (12)

Computed relative energies in units of meV per atom: arrangement A 114; arrangement B 0